26
Lattice="5.377 0.000 0.022 2.689 6.837 0.011 2.187 0.000 9.378" Properties=species:S:1:pos:R:3 comment="Te2P2O9 | the Alexandria database | SCAN | PBEsol geometry" energy_ev_per_cell=-349.829 crystal_system=monoclinic magmom_total_mub_per_cell=0.0 pbc="T T T"
O 7.150 2.776 5.567
O 3.368 4.062 0.867
O 4.762 2.925 7.530
O 6.357 3.912 2.852
O 5.998 2.634 0.652
O 4.402 4.204 5.331
O 7.284 1.286 7.593
O 3.502 5.552 2.893
O 3.383 1.484 0.260
O 7.165 5.353 4.960
O 5.663 5.235 7.279
O 1.881 1.602 2.579
O 3.276 0.753 5.479
O 4.871 6.084 0.801
O 6.157 0.438 5.496
O 7.752 6.399 0.818
O 8.520 4.855 7.425
O 4.738 1.983 2.725
P 1.935 1.317 6.020
P 3.530 5.520 1.342
P 4.493 4.301 6.872
P 6.089 2.536 2.193
Te 6.560 2.897 8.774
Te 2.778 3.940 4.074
Te 7.298 6.395 6.574
Te 3.516 0.442 1.874

4
Lattice="-2.993 0.019 0.819 1.109 -0.783 4.071 1.169 4.503 -1.714" Properties=species:S:1:pos:R:3 comment="CrMo2Rh | the Alexandria database | SCAN | PBEsol geometry" de_polymorph_ev_per_atom=0.000 energy_ev_per_cell=-121.382 e_form_ev_per_atom=0.136 crystal_system=orthorhombic magmom_total_mub_per_cell=0.0 pbc="T T T"
Cr 0.675 1.801 2.424
Mo -0.721 3.647 3.160
Mo -1.388 1.979 0.759
Rh -0.939 -0.329 2.454

5
Lattice="3.776 0.000 0.000 0.000 3.999 0.000 0.000 0.000 3.999" Properties=species:S:1:pos:R:3 comment="TcB2PdC | the Alexandria database | SCAN | PBEsol geometry" energy_ev_per_cell=-81.971 e_form_ev_per_atom=2.165 crystal_system=tetragonal magmom_total_mub_per_cell=1.9 pbc="T T T"
C 1.888 0.000 0.000
B 0.000 0.000 1.999
B 0.000 1.999 0.000
Tc 1.888 1.999 1.999
Pd 0.000 0.000 0.000